This record from the Alexandria database describes YThInOs after structural relaxation. The functional is PBE.

Summary:
SG: F-43m
Crystal system: cubic
Size of the total moment in μB per atom: 0.000
DOS at the Fermi energy in states/eV/cell: 2.797
V in A^3/atom: 24.368
DFT formation energy in eV per atom: -0.135
Raw total energy in eV per atom: -7.098

abc: 5.166 5.166 5.166
angles: 60.00 60.00 60.00
Fractional positions:
Y 0.000 0.000 0.000
Os 0.750 0.750 0.750
Th 0.500 0.500 0.500
In 0.250 0.250 0.250

***

This record from the Alexandria database describes Ti2InOs after structural relaxation. The functional is PBE.

Summary:
SG: I-42d
Crystal system: tetragonal
Size of the total moment in μB per atom: 0.000
DOS at the Fermi energy in states/eV/cell: 6.959
V in A^3/atom: 18.964
DFT formation energy in eV per atom: 0.163
Raw total energy in eV per atom: -7.276

abc: 7.421 7.421 5.927
angles: 51.24 51.24 90.00
Fractional positions:
Ti 0.072 0.625 0.250
Ti 0.375 0.322 0.750
Ti 0.875 0.928 0.750
Ti 0.678 0.125 0.250
In 0.250 0.750 0.500
In 0.500 0.500 0.000
Os 0.750 0.250 0.500
Os 0.000 0.000 0.000

***

This record from the Alexandria database describes TiInOs2 after structural relaxation. The functional is PBE.

Summary:
SG: I-42d
Crystal system: tetragonal
Size of the total moment in μB per atom: 0.000
DOS at the Fermi energy in states/eV/cell: 9.315
V in A^3/atom: 18.680
DFT formation energy in eV per atom: 0.610
Raw total energy in eV per atom: -7.663

abc: 4.091 4.091 9.387
angles: 77.41 77.41 90.00
Fractional positions:
Os 0.875 0.801 0.750
Os 0.199 0.625 0.250
Os 0.551 0.125 0.250
Os 0.375 0.449 0.750
In 0.750 0.250 0.500
In 0.000 0.000 0.000
Ti 0.250 0.750 0.500
Ti 0.500 0.500 0.000

***

This record from the Alexandria database describes TiIn2Os after structural relaxation. The functional is PBE.

Summary:
SG: Fm-3m
Crystal system: cubic
Size of the total moment in μB per atom: 0.000
DOS at the Fermi energy in states/eV/cell: 2.417
V in A^3/atom: 17.759
DFT formation energy in eV per atom: 0.182
Raw total energy in eV per atom: -5.969

abc: 4.649 4.649 4.649
angles: 60.00 60.00 60.00
Fractional positions:
In 0.250 0.250 0.250
In 0.750 0.750 0.750
Ti 0.000 0.000 0.000
Os 0.500 0.500 0.500

***

This record from the Alexandria database describes Ti2InOs after structural relaxation. The functional is PBE.

Summary:
SG: P4/mmm
Crystal system: tetragonal
Size of the total moment in μB per atom: 0.000
DOS at the Fermi energy in states/eV/cell: 3.346
V in A^3/atom: 17.263
DFT formation energy in eV per atom: -0.359
Raw total energy in eV per atom: -7.799

abc: 3.044 3.044 7.451
angles: 90.00 90.00 90.00
Fractional positions:
Ti 0.000 0.000 0.209
Ti 0.000 0.000 0.791
In 0.500 0.500 0.500
Os 0.500 0.500 0.000

***

This record from the Alexandria database describes TiIn2Os after structural relaxation. The functional is PBE.

Summary:
SG: I-42d
Crystal system: tetragonal
Size of the total moment in μB per atom: 0.000
DOS at the Fermi energy in states/eV/cell: 8.966
V in A^3/atom: 20.261
DFT formation energy in eV per atom: 0.587
Raw total energy in eV per atom: -5.563

abc: 7.644 7.644 6.075
angles: 51.02 51.02 90.00
Fractional positions:
Os 0.000 0.000 0.000
Os 0.750 0.250 0.500
In 0.105 0.625 0.250
In 0.645 0.125 0.250
In 0.875 0.895 0.750
In 0.375 0.355 0.750
Ti 0.500 0.500 0.000
Ti 0.250 0.750 0.500